# 1
SmRhSe2 (PBE, optimized geometry); density of states at the Fermi level = 1.383 states/eV/f.u.; formation energy without anion corrections = -0.481 eV per atom
1.0
3.7843 0.0000 0.0000
1.8922 3.2773 0.0000
1.8922 1.0924 8.2971
Rh Se Sm
1 2 1
Cartesian
3.7843 2.1849 4.1486
1.8922 1.0924 5.4116
5.6765 3.2773 2.8856
0.0000 0.0000 0.0000

***

# 2
Ce8Ge3Te4Br (PBE, optimized geometry); density of states at the Fermi level = 50.877 states/eV/f.u.; formation energy without anion corrections = -1.146 eV per atom
1.0
8.7067 0.0000 0.0000
0.0000 8.8075 0.0645
-4.3533 -4.3491 6.1600
Ce Ge Te Br
8 3 4 1
Cartesian
-2.1204 2.1581 6.0992
0.0000 4.2769 3.0990
0.0000 0.1659 3.1936
2.1204 2.1581 6.0992
2.2330 2.3003 0.1253
4.3533 4.2925 3.0310
4.3533 0.1815 3.1255
6.4737 2.3003 0.1253
4.3533 4.4037 0.0322
2.1767 2.2292 3.1123
-2.1767 2.2292 3.1123
4.3533 0.0000 0.0000
2.1767 -2.1746 3.0800
0.0000 0.0000 0.0000
-2.1767 -2.1746 3.0800
0.0000 4.4037 0.0322

***

# 3
MgZn2Ag2 (PBE, optimized geometry); density of states at the Fermi level = 1.555 states/eV/f.u.; offset from the most stable computed form = 142.4 meV/atom
1.0
3.9830 0.0000 0.0000
0.0000 3.9830 0.0000
1.9915 1.9915 5.9880
Zn Mg Ag
2 1 2
Cartesian
1.9915 1.9915 1.1894
3.9830 3.9830 4.7986
0.0000 0.0000 0.0000
3.9830 1.9915 2.9940
1.9915 3.9830 2.9940

***

# 4
NdDyYPu (PBE, optimized geometry); density of states at the Fermi level = 11.501 states/eV/f.u.; E_tot = -7.3314 eV per atom
1.0
-5.1884 -2.2300 -0.0872
-1.2672 -4.3367 3.3894
-3.4767 0.7651 4.3849
Y Dy Nd Pu
1 1 1 1
Cartesian
-4.9662 -2.9008 3.8435
-2.4831 -1.4504 1.9218
-7.4493 -4.3512 5.7653
0.0000 0.0000 0.0000